The following is a GGA-PBE calculation of an optimized crystal structure of ZrInRh3, from Alexandria via LeMat-Bulk.

Cell: 4.806 4.806 4.806 Å, 90.00 90.00 90.00°
Space group Pm-3m (No. 221)
Inequivalent atoms, fractional coordinates:
Zr  0.000  0.000  0.000
In  0.500  0.500  0.500
Rh  0.000  0.000  0.500

## Properties
V   22.21 A^3/atom
Crystal system   cubic
Energy above the most stable polymorph in this dataset   0.0 kJ/mol of atoms